A plane-wave DFT calculation with PBE was carried out for PmDy3Y2Ho6 after structural relaxation.

CIF file:
```
data_PmDy3Y2Ho6
_chemical_formula_sum 'Pm2 Dy6 Y4 Ho12'
_cell_length_a 6.145
_cell_length_b 10.632
_cell_length_c 11.757
_cell_angle_alpha 90.00
_cell_angle_beta 99.97
_cell_angle_gamma 90.00
_space_group_name_H-M_alt 'C 1 2/m 1'
_space_group_IT_number 12
loop_
_space_group_symop_operation_xyz
'x,y,z'
'-x,-y,-z'
'-x,y,-z'
'x,-y,z'
'x+1/2,y+1/2,z'
'-x+1/2,-y+1/2,-z'
'-x+1/2,y+1/2,-z'
'x+1/2,-y+1/2,z'
loop_
_atom_site_label
_atom_site_type_symbol
_atom_site_fract_x
_atom_site_fract_y
_atom_site_fract_z
Pm1 Pm 0.000 0.000 0.000
Dy1 Dy 0.000 0.167 0.500
Dy2 Dy 0.000 0.500 0.500
Y1 Y 0.000 0.333 0.000
Ho1 Ho 0.249 0.000 0.748
Ho2 Ho 0.249 0.333 0.748
```

## Properties
Total energy (eV/atom): -4.894
ρ (Mg/m³): 7.9
Total magnetic moment (μB per cell): 0.0
Energy of formation (eV/atom): 0.02